Record 1
Entry from Alexandria: a relaxed structure of MgRu2Cl (GGA-PBE).

The structure in POSCAR format:
```
MgRu2Cl
1.0
3.030 0.000 0.000
0.000 3.030 0.000
0.000 0.000 6.455
Cl Ru Mg
1 2 1
Cartesian
1.515 1.515 1.614
0.000 0.000 3.145
0.000 0.000 0.083
1.515 1.515 4.841
```

Energy relative to the lowest polymorph listed for this composition (meV/atom): 653
Magnetic moment (μB/cell): 0.0
Fermi-level density of states (states/eV per atom): 1.025
SG: P4/mmm
Raw formation energy (meV per atom): 560

Record 2
Entry from Alexandria: a relaxed structure of Mg2RuCl (GGA-PBE).

The structure in POSCAR format:
```
Mg2RuCl
1.0
5.753 0.000 0.000
3.290 4.720 0.000
-4.522 -2.360 2.662
Ru Mg Cl
1 2 1
Cartesian
4.522 2.360 0.000
0.000 0.000 0.000
1.645 2.360 1.331
2.877 0.000 1.331
```

Energy relative to the lowest polymorph listed for this composition (meV/atom): 539
Magnetic moment (μB/cell): 0.0
Fermi-level density of states (states/eV per atom): 0.917
SG: I-4m2
Raw formation energy (meV per atom): 106

Record 3
Entry from Alexandria: a relaxed structure of MgRu2Cl (GGA-PBE).

The structure in POSCAR format:
```
MgRu2Cl
1.0
6.459 0.000 0.000
4.563 4.571 0.000
-5.511 -2.286 2.474
Ru Mg Cl
2 1 1
Cartesian
5.511 2.286 0.000
0.000 0.000 0.000
3.229 0.000 1.237
2.281 2.286 1.237
```

Energy relative to the lowest polymorph listed for this composition (meV/atom): 523
Magnetic moment (μB/cell): 0.0
Fermi-level density of states (states/eV per atom): 0.970
SG: I4/mmm
Raw formation energy (meV per atom): 430

Record 4
Entry from Alexandria: a relaxed structure of MgRuCl6 (GGA-PBE).

The structure in POSCAR format:
```
MgRuCl6
1.0
6.170 0.009 0.008
3.079 5.346 0.011
3.077 1.778 5.520
Cl Mg Ru
6 1 1
Cartesian
8.271 3.684 1.355
5.211 1.688 1.349
4.055 3.450 4.184
7.314 1.799 4.187
7.115 5.446 4.191
5.012 5.334 1.353
6.163 3.567 2.770
0.000 0.000 0.000
```

Energy relative to the lowest polymorph listed for this composition (meV/atom): 70
Magnetic moment (μB/cell): 2.0
Fermi-level density of states (states/eV per atom): 0.622
SG: R-3
Raw formation energy (meV per atom): -896

Record 5
Entry from Alexandria: a relaxed structure of MgRuCl2 (GGA-PBE).

The structure in POSCAR format:
```
MgRuCl2
1.0
-0.868 2.494 -1.701
-2.448 -2.424 -2.306
-6.117 0.571 3.958
Cl Mg Ru
2 1 1
Cartesian
-7.619 -1.520 1.657
-3.117 0.968 0.109
-4.619 -0.897 1.041
-6.925 -0.690 -0.379
```

Energy relative to the lowest polymorph listed for this composition (meV/atom): 0
Magnetic moment (μB/cell): 0.0
SG: Pm
Raw formation energy (meV per atom): -463

Record 6
Entry from Alexandria: a relaxed structure of MgRuCl2 (GGA-PBE).

The structure in POSCAR format:
```
MgRuCl2
1.0
0.000 3.264 3.264
3.264 0.000 3.264
3.264 3.264 0.000
Cl Ru Mg
2 1 1
Cartesian
1.632 1.632 1.632
4.895 4.895 4.895
3.264 3.264 3.264
0.000 0.000 0.000
```

Energy relative to the lowest polymorph listed for this composition (meV/atom): 511
Magnetic moment (μB/cell): 2.1
Fermi-level density of states (states/eV per atom): 0.264
SG: Fm-3m
Raw formation energy (meV per atom): 48

Record 7
Entry from Alexandria: a relaxed structure of MgRuCl6 (GGA-PBE).

The structure in POSCAR format:
```
MgRuCl6
1.0
6.709 -0.385 -1.233
-2.401 6.277 -1.233
0.397 0.542 6.121
Mg Cl Ru
1 6 1
Cartesian
0.198 0.271 3.061
6.038 1.458 0.072
-0.441 6.196 0.072
5.146 0.238 3.583
1.409 1.927 4.508
-1.333 4.976 3.583
3.296 4.507 -0.854
0.000 0.000 0.000
```

Energy relative to the lowest polymorph listed for this composition (meV/atom): 0
Magnetic moment (μB/cell): 2.0
Fermi-level density of states (states/eV per atom): 0.661
SG: C2/m
Raw formation energy (meV per atom): -966

Record 8
Entry from Alexandria: a relaxed structure of MgRu2Cl (GGA-PBE).

The structure in POSCAR format:
```
MgRu2Cl
1.0
-2.552 -0.674 -3.513
-3.509 -0.368 2.620
-0.483 3.003 -0.225
Ru Mg Cl
2 1 1
Cartesian
-3.031 -0.521 -0.447
0.000 0.000 0.000
-1.996 1.317 1.197
-1.518 1.165 -1.869
```

Energy relative to the lowest polymorph listed for this composition (meV/atom): 735
Magnetic moment (μB/cell): 0.0
Fermi-level density of states (states/eV per atom): 1.189
SG: P4/mmm
Raw formation energy (meV per atom): 642

Question: Among the records above, which one has the lowest raw formation energy?
Answer: number 7